Compound: HoZn12
Source: the Alexandria database
Functional: PBE
Structure: optimized geometry Values from VASP.

Computed properties:
**Space-group type**: I4/mmm (139)
**M_tot**: 0.00 Bohr magnetons per cell
**Crystal system**: tetragonal
**E**: -22.024 eV for the cell shown

Quantum ESPRESSO input file:
```
&SYSTEM
  ibrav = 0, nat = 13, ntyp = 2
/
ATOMIC_SPECIES
Ho 164.93 Ho.upf
Zn 65.41 Zn.upf
CELL_PARAMETERS angstrom
-4.401 4.401 2.641
4.401 -4.401 2.641
4.401 4.401 -2.641
ATOMIC_POSITIONS crystal
Ho 0.000 0.000 0.000
Zn 0.000 0.000 0.500
Zn 0.000 0.353 0.353
Zn 0.000 0.500 0.000
Zn 0.000 0.647 0.647
Zn 0.283 0.500 0.783
Zn 0.353 0.000 0.353
Zn 0.500 0.000 0.000
Zn 0.500 0.283 0.783
Zn 0.500 0.500 0.500
Zn 0.500 0.717 0.217
Zn 0.647 0.000 0.647
Zn 0.717 0.500 0.217
```